1.
{
  "formula": "K2VH",
  "functional": "PBE-GGA",
  "state": "relaxed",
  "lattice_angstrom": [[7.967, 0.000, 0.000], [0.000, 7.967, 0.000], [3.984, 3.984, 4.532]],
  "species": ["K", "K", "K", "K", "V", "V", "H", "H"],
  "frac_coords": [[0.875, 0.764, 0.750], [0.375, 0.486, 0.750], [0.236, 0.625, 0.250], [0.514, 0.125, 0.250], [0.000, 0.000, 0.000], [0.750, 0.250, 0.500], [0.250, 0.750, 0.500], [0.500, 0.500, 0.000]],
  "dos_ef_per_ev_atom": 2.156,
  "total_magnetization_mub_per_fu": 4.3
}

---

2.
{
  "formula": "K2VH",
  "functional": "PBE-GGA",
  "state": "relaxed",
  "lattice_angstrom": [[0.000, 4.116, 4.116], [4.116, 0.000, 4.116], [4.116, 4.116, 0.000]],
  "species": ["V", "K", "K", "H"],
  "frac_coords": [[0.500, 0.500, 0.500], [0.250, 0.250, 0.250], [0.750, 0.750, 0.750], [0.000, 0.000, 0.000]],
  "dos_ef_per_ev_atom": 1.636,
  "total_magnetization_mub_per_fu": 4.1
}

---

It is 2 that is the least stable of them.